#a
First-principles (PBE) data for a geometry-optimized ZnCuSe2Br structure, as listed in Alexandria.

Computed properties:
The value obtained for the density of states at the Fermi level is 6.49 states/eV/cell. As for the magnetic moment: 0.0 μB/f.u.

a b c (Å): 4.8208 4.8208 5.5228
angles (deg): 90.00 90.00 90.00
Fractional coordinates of all 5 atoms:
Zn (0.0000, 0.0000, 0.0000)
Cu (0.5000, 0.5000, 0.5000)
Br (0.0000, 0.0000, 0.5000)
Se (0.5000, 0.0000, 0.0000)
Se (0.0000, 0.5000, 0.0000)


#b
First-principles (PBE) data for a geometry-optimized ZnCuSe2Br structure, as listed in Alexandria.

Computed properties:
The value obtained for the density of states at the Fermi level is 3.91 states/eV/cell. As for the magnetic moment: 0.0 μB/f.u.

a b c (Å): 4.8531 4.8531 4.9388
angles (deg): 90.00 90.00 90.00
Fractional coordinates of all 5 atoms:
Cu (0.0000, 0.0000, 0.0000)
Zn (0.5000, 0.5000, 0.5000)
Se (0.0000, 0.5000, 0.0000)
Se (0.5000, 0.0000, 0.0000)
Br (0.0000, 0.0000, 0.5000)


Most stable: #b. Least stable: #a.


#a
First-principles (PBE) data for a geometry-optimized CuSi2Br structure, as listed in Alexandria.

Computed properties:
The value obtained for the density of states at the Fermi level is 1.37 states/eV/cell. As for the magnetic moment: 0.0 μB/f.u.

a b c (Å): 3.4139 3.3618 6.9205
angles (deg): 90.00 90.00 90.00
Fractional coordinates of all 4 atoms:
Cu (0.5000, 0.5000, 0.7829)
Br (0.0000, 0.0000, 0.5888)
Si (0.5000, 0.5000, 0.1216)
Si (0.0000, 0.0000, 0.0066)


#b
First-principles (PBE) data for a geometry-optimized CuSi2Br structure, as listed in Alexandria.

Computed properties:
The value obtained for the density of states at the Fermi level is 2.04 states/eV/cell. As for the magnetic moment: 0.0 μB/f.u.

a b c (Å): 3.4856 3.5151 7.3604
angles (deg): 109.37 90.00 90.00
Fractional coordinates of all 4 atoms:
Cu (0.5000, 0.6895, 0.8025)
Si (0.0000, 0.8726, 0.0611)
Si (0.5000, 0.3856, 0.0742)
Br (0.0000, 0.5523, 0.5621)


Most stable: #b. Least stable: #a.


#a
First-principles (PBE) data for a geometry-optimized CuSi2Br structure, as listed in Alexandria.

Computed properties:
The value obtained for the density of states at the Fermi level is 1.19 states/eV/cell. As for the magnetic moment: 0.0 μB/f.u.

a b c (Å): 6.6676 6.6676 6.6676
angles (deg): 33.14 33.14 33.14
Fractional coordinates of all 4 atoms:
Cu (0.2635, 0.2635, 0.2635)
Si (0.0067, 0.0067, 0.0067)
Si (0.7137, 0.7137, 0.7137)
Br (0.5161, 0.5161, 0.5161)


#b
First-principles (PBE) data for a geometry-optimized CuSi2Br structure, as listed in Alexandria.

Computed properties:
The value obtained for the density of states at the Fermi level is 2.07 states/eV/cell. As for the magnetic moment: 0.0 μB/f.u.

a b c (Å): 4.9117 4.9117 3.0778
angles (deg): 90.00 90.00 109.18
Fractional coordinates of all 4 atoms:
Si (0.5000, 0.5000, 0.0000)
Si (0.0000, 0.0000, 0.0000)
Cu (0.0000, 0.5000, 0.5000)
Br (0.5000, 0.0000, 0.5000)


Most stable: #a. Least stable: #b.


#a
First-principles (PBE) data for a geometry-optimized CuSi2Br structure, as listed in Alexandria.

Computed properties:
The value obtained for the density of states at the Fermi level is 1.92 states/eV/cell. As for the magnetic moment: 0.0 μB/f.u.

a b c (Å): 4.7564 4.0080 4.0085
angles (deg): 74.81 90.00 90.00
Fractional coordinates of all 4 atoms:
Si (0.0000, 0.9339, 0.9339)
Si (0.0000, 0.5661, 0.5661)
Br (0.5000, 0.2500, 0.2500)
Cu (0.5000, 0.7500, 0.7500)


#b
First-principles (PBE) data for a geometry-optimized CuSi2Br structure, as listed in Alexandria.

Computed properties:
The value obtained for the density of states at the Fermi level is 2.12 states/eV/cell. As for the magnetic moment: 0.0 μB/f.u.

a b c (Å): 3.1457 3.1468 7.0979
angles (deg): 90.00 90.00 90.00
Fractional coordinates of all 4 atoms:
Cu (0.5000, 0.5000, 0.7500)
Si (0.0000, 0.0000, 0.9475)
Si (0.0000, 0.0000, 0.5525)
Br (0.5000, 0.5000, 0.2500)


Most stable: #a. Least stable: #b.


#a
First-principles (PBE) data for a geometry-optimized CuSiBr3 structure, as listed in Alexandria.

Computed properties:
The value obtained for the density of states at the Fermi level is 3.21 states/eV/cell. As for the magnetic moment: 0.5 μB/f.u.

a b c (Å): 5.0031 5.0031 5.0031
angles (deg): 90.00 90.00 90.00
Fractional coordinates of all 5 atoms:
Br (0.0000, 0.5000, 0.0000)
Br (0.5000, 0.0000, 0.0000)
Br (0.0000, 0.0000, 0.5000)
Si (0.5000, 0.5000, 0.5000)
Cu (0.0000, 0.0000, 0.0000)


#b
First-principles (PBE) data for a geometry-optimized CuSiBr3 structure, as listed in Alexandria.

Computed properties:
The value obtained for the density of states at the Fermi level is 0.72 states/eV/cell. As for the magnetic moment: 0.0 μB/f.u.

a b c (Å): 5.1918 5.1918 5.1918
angles (deg): 90.00 90.00 90.00
Fractional coordinates of all 5 atoms:
Si (0.0000, 0.0000, 0.0000)
Br (0.0000, 0.5000, 0.0000)
Br (0.5000, 0.0000, 0.0000)
Br (0.0000, 0.0000, 0.5000)
Cu (0.5000, 0.5000, 0.5000)


Most stable: #b. Least stable: #a.


#a
First-principles (PBE) data for a geometry-optimized CuSiBr structure, as listed in Alexandria.

Computed properties:
The value obtained for the density of states at the Fermi level is 0.90 states/eV/cell. As for the magnetic moment: 0.0 μB/f.u.

a b c (Å): 3.5878 3.5878 5.1786
angles (deg): 90.00 90.00 120.00
Fractional coordinates of all 3 atoms:
Cu (0.3333, 0.6667, 0.3705)
Si (0.6667, 0.3333, 0.6029)
Br (0.0000, 0.0000, 0.0266)


#b
First-principles (PBE) data for a geometry-optimized CuSiBr structure, as listed in Alexandria.

Computed properties:
The value obtained for the density of states at the Fermi level is 1.98 states/eV/cell. As for the magnetic moment: 0.0 μB/f.u.

a b c (Å): 4.4624 4.4624 4.4624
angles (deg): 60.00 60.00 60.00
Fractional coordinates of all 3 atoms:
Cu (0.7500, 0.7500, 0.7500)
Br (0.5000, 0.5000, 0.5000)
Si (0.0000, 0.0000, 0.0000)


Most stable: #a. Least stable: #b.


#a
First-principles (PBE) data for a geometry-optimized CuSiBr structure, as listed in Alexandria.

Computed properties:
The value obtained for the density of states at the Fermi level is 0.73 states/eV/cell. As for the magnetic moment: 0.0 μB/f.u.

a b c (Å): 4.5523 4.5523 4.5523
angles (deg): 60.00 60.00 60.00
Fractional coordinates of all 3 atoms:
Cu (0.5000, 0.5000, 0.5000)
Br (0.0000, 0.0000, 0.0000)
Si (0.2500, 0.2500, 0.2500)


#b
First-principles (PBE) data for a geometry-optimized CuSiBr structure, as listed in Alexandria.

Computed properties:
The value obtained for the density of states at the Fermi level is 0.72 states/eV/cell. As for the magnetic moment: 0.0 μB/f.u.

a b c (Å): 6.0357 6.0357 6.0357
angles (deg): 147.36 147.36 46.83
Fractional coordinates of all 3 atoms:
Br (0.9878, 0.9878, 0.0000)
Si (0.7801, 0.7801, 0.0000)
Cu (0.2321, 0.2321, 0.0000)


Most stable: #b. Least stable: #a.


#a
First-principles (PBE) data for a geometry-optimized Cu3SnBr structure, as listed in Alexandria.

Computed properties:
The value obtained for the density of states at the Fermi level is 2.82 states/eV/cell. As for the magnetic moment: 0.0 μB/f.u.

a b c (Å): 4.7379 4.7379 4.7379
angles (deg): 90.00 90.00 90.00
Fractional coordinates of all 5 atoms:
Cu (0.0000, 0.0000, 0.5000)
Cu (0.0000, 0.5000, 0.0000)
Cu (0.5000, 0.0000, 0.0000)
Sn (0.5000, 0.5000, 0.5000)
Br (0.0000, 0.0000, 0.0000)


#b
First-principles (PBE) data for a geometry-optimized Cu3SnBr structure, as listed in Alexandria.

Computed properties:
The value obtained for the density of states at the Fermi level is 8.54 states/eV/cell. As for the magnetic moment: 0.0 μB/f.u.

a b c (Å): 4.9651 4.9651 4.9651
angles (deg): 90.00 90.00 90.00
Fractional coordinates of all 5 atoms:
Cu (0.0000, 0.5000, 0.0000)
Cu (0.5000, 0.0000, 0.0000)
Cu (0.0000, 0.0000, 0.5000)
Sn (0.0000, 0.0000, 0.0000)
Br (0.5000, 0.5000, 0.5000)


Most stable: #b. Least stable: #a.